Entry from the Alexandria database: a relaxed structure of NbAlSCl2 (PBE).

The structure belongs to space group P4/mmm (No. 123); the cell edges are 4.981, 4.981 and 4.836 Å and the angles 90.00°, 90.00° and 90.00°. The asymmetric unit holds Nb at (0.000, 0.000, 0.000), Al at (0.500, 0.500, 0.500), S at (0.000, 0.000, 0.500) and Cl at (0.000, 0.500, 0.000).

Its uncorrected formation energy is -0.428 eV per atom.